No. 1
# K2MgIBr3

A relaxed structure of K2MgIBr3 (PBE-GGA, Alexandria via LeMat-Bulk).

Cell lengths 5.818, 5.418, 9.148 Å; angles 107.23, 108.54, 90.00 degrees
Fractional positions:
Br 0.161 0.161 0.322
Br 0.000 0.500 0.000
Br 0.839 0.839 0.678
K 0.357 0.357 0.714
K 0.643 0.643 0.286
I 0.500 0.000 0.000
Mg 0.000 0.000 0.000

Results
Raw formation energy, meV per atom: -1488
Space-group type: No. 71

=====

No. 2
# Tc2BMo

A relaxed structure of Tc2BMo (PBE-GGA, Alexandria via LeMat-Bulk).

Cell lengths 6.986, 6.986, 5.431 Å; angles 49.98, 49.98, 90.00 degrees
Fractional positions:
B 0.500 0.500 0.000
B 0.250 0.750 0.500
Tc 0.375 0.475 0.750
Tc 0.225 0.625 0.250
Tc 0.875 0.775 0.750
Tc 0.525 0.125 0.250
Mo 0.000 0.000 0.000
Mo 0.750 0.250 0.500

Results
E_form, eV/f.u.: 0.73
Space-group type: No. 122

=====

No. 3
# YHfNb

A relaxed structure of YHfNb (PBE-GGA, Alexandria via LeMat-Bulk).

Cell lengths 5.031, 6.368, 8.730 Å; angles 90.00, 90.00, 90.00 degrees
Fractional positions:
Y 0.500 0.000 0.500
Y 0.500 0.500 0.500
Y 0.000 0.500 0.000
Y 0.000 0.000 0.000
Hf 0.500 0.750 0.162
Hf 0.000 0.750 0.338
Hf 0.500 0.250 0.838
Hf 0.000 0.250 0.662
Nb 0.000 0.750 0.670
Nb 0.500 0.750 0.830
Nb 0.500 0.250 0.170
Nb 0.000 0.250 0.330

Results
E_form, eV/f.u.: 0.63
Space-group type: No. 74
Energy above the lowest structure with this stoichiometry, eV per formula unit: 0.09

=====

| no. | spin magnetization (Bohr magnetons per cell) |
| --- | --- |
| 1 | 0.0 |
| 2 | 0.0 |
| 3 | 0.0 |